(1)
The following is a DFT calculation (PBE-GGA) of a relaxed structure of NaNdSbSe3.

Properties
Spin magnetization (μB/atom): 0.001
DFT total energy (eV/atom): -4.31
Calculated volume (Å³/atom): 28.47

Cell: 7.7248 7.7248 10.5869 Å, 90.00 90.00 147.27°
Last column: nearest neighbours and their distance in Å.
Fractional coordinates of all 12 atoms:
1 Se 0.1392 0.8608 0.0472  1 Sb 2.69
2 Sb 0.0303 0.9697 0.2500  2 Se 2.69
3 Na 0.2558 0.7442 0.7500  2 Se 2.97
4 Se 0.1392 0.8608 0.4528  1 Sb 2.69
5 Na 0.7442 0.2558 0.2500  2 Se 2.97
6 Se 0.8608 0.1392 0.5472  1 Sb 2.69
7 Sb 0.9697 0.0303 0.7500  2 Se 2.69
8 Se 0.3806 0.6194 0.2500  2 Na 2.97, 2 Sb 3.11, 2 Nd 3.18
9 Se 0.8608 0.1392 0.9528  1 Sb 2.69
10 Se 0.6194 0.3806 0.7500  2 Na 2.97, 2 Sb 3.11, 2 Nd 3.18
11 Nd 0.5000 0.5000 0.0000  6 Se 3.04-3.18
12 Nd 0.5000 0.5000 0.5000  6 Se 3.04-3.18

=====

(2)
The following is a DFT calculation (PBE-GGA) of a relaxed structure of NaSrNdSe3.

Properties
Spin magnetization (μB/atom): 0.000
DFT total energy (eV/atom): -4.66
Calculated volume (Å³/atom): 28.11
Relative energy among the computed polymorphs (meV per atom): 125

Cell: 7.3247 7.3247 11.0787 Å, 90.00 90.00 145.43°
Last column: nearest neighbours and their distance in Å.
Fractional coordinates of all 12 atoms:
1 Se 0.6405 0.3596 0.5589  1 Na 2.71, 2 Nd 3.00
2 Sr 0.7517 0.2483 0.2500  6 Se 3.10-3.39
3 Se 0.6405 0.3596 0.9411  1 Na 2.71, 2 Nd 3.00
4 Se 0.3596 0.6405 0.0589  1 Na 2.71, 2 Nd 3.00
5 Na 0.4802 0.5198 0.2500  4 Se 2.69-2.71
6 Se 0.0937 0.9064 0.2500  2 Na 2.69
7 Se 0.9064 0.0937 0.7500  2 Na 2.69
8 Se 0.3596 0.6405 0.4411  1 Na 2.71, 2 Nd 3.00
9 Na 0.5198 0.4802 0.7500  4 Se 2.69-2.71
10 Nd 0.0000 0.0000 0.0000  6 Se 3.00-3.06
11 Nd 0.0000 0.0000 0.5000  6 Se 3.00-3.06
12 Sr 0.2483 0.7517 0.7500  6 Se 3.10-3.39

=====

(3)
The following is a DFT calculation (PBE-GGA) of a relaxed structure of NaSrNdSe3.

Properties
Spin magnetization (μB/atom): 0.001
DFT total energy (eV/atom): -4.79
Calculated volume (Å³/atom): 28.39
Relative energy among the computed polymorphs (meV per atom): 0

Cell: 9.3545 9.3545 9.1343 Å, 104.68 104.68 26.20°
Last column: nearest neighbours and their distance in Å.
Fractional coordinates of all 12 atoms:
1 Se 0.3208 0.3208 0.6760  2 Nd 2.96, 1 Na 3.08, 1 Sr 3.29
2 Sr 0.8664 0.8664 0.4329  7 Se 3.17-3.33
3 Na 0.4954 0.4954 0.7965  4 Se 2.73-3.02
4 Se 0.6665 0.6665 0.8570  3 Nd 2.95-3.02, 1 Na 3.02
5 Se 0.5000 0.5000 0.5000  2 Na 2.73
6 Sr 0.1336 0.1336 0.5671  7 Se 3.17-3.33
7 Se 0.6792 0.6792 0.3240  2 Nd 2.96, 1 Na 3.08, 1 Sr 3.29
8 Se 0.0000 0.0000 0.0000  4 Na 2.81, 2 Nd 2.94
9 Nd 0.1671 0.1671 0.0923  6 Se 2.94-3.02
10 Se 0.3335 0.3335 0.1430  3 Nd 2.95-3.02, 1 Na 3.02
11 Na 0.5046 0.5046 0.2035  4 Se 2.73-3.02
12 Nd 0.8329 0.8329 0.9077  6 Se 2.94-3.02

=====

(4)
The following is a DFT calculation (PBE-GGA) of a relaxed structure of NaSrNdSe3.

Properties
Spin magnetization (μB/atom): 0.000
DFT total energy (eV/atom): -4.67
Calculated volume (Å³/atom): 28.28
Relative energy among the computed polymorphs (meV per atom): 119

Cell: 11.1720 4.3578 13.9395 Å, 90.00 90.00 90.00°
Last column: nearest neighbours and their distance in Å.
Fractional coordinates of all 24 atoms:
1 Se 0.0875 0.2500 0.6056  1 Na 2.71, 2 Nd 2.95
2 Se 0.5381 0.7500 0.3832  1 Na 2.71
3 Se 0.4619 0.2500 0.6168  1 Na 2.71
4 Nd 0.0183 0.7500 0.7366  6 Se 2.95-3.13
5 Sr 0.7136 0.2500 0.4970  7 Se 3.13-3.43
6 Nd 0.4817 0.2500 0.2366  6 Se 2.95-3.13
7 Na 0.2687 0.2500 0.7349  4 Se 2.68-2.71
8 Nd 0.9817 0.2500 0.2634  6 Se 2.95-3.13
9 Na 0.7313 0.7500 0.2651  4 Se 2.68-2.71
10 Sr 0.7864 0.7500 0.9970  7 Se 3.13-3.43
11 Se 0.9125 0.7500 0.3944  1 Na 2.71, 2 Nd 2.95
12 Se 0.7375 0.2500 0.1535  2 Na 2.68
13 Na 0.7687 0.2500 0.7651  4 Se 2.68-2.71
14 Se 0.0381 0.7500 0.1168  1 Na 2.71
15 Nd 0.5183 0.7500 0.7634  6 Se 2.95-3.13
16 Na 0.2313 0.7500 0.2349  4 Se 2.68-2.71
17 Se 0.2625 0.7500 0.8465  2 Na 2.68
18 Sr 0.2864 0.7500 0.5030  7 Se 3.13-3.43
19 Sr 0.2136 0.2500 0.0030  7 Se 3.13-3.43
20 Se 0.2375 0.2500 0.3465  2 Na 2.68
21 Se 0.4125 0.7500 0.1056  1 Na 2.71, 2 Nd 2.95
22 Se 0.5875 0.2500 0.8944  1 Na 2.71, 2 Nd 2.95
23 Se 0.7625 0.7500 0.6535  2 Na 2.68
24 Se 0.9619 0.2500 0.8832  1 Na 2.71

=====

(5)
The following is a DFT calculation (PBE-GGA) of a relaxed structure of NaNdZnSe3.

Properties
Spin magnetization (μB/atom): 0.000
DFT total energy (eV/atom): -4.26
Calculated volume (Å³/atom): 27.85
Relative energy among the computed polymorphs (meV per atom): 13

Cell: 14.0439 4.1500 11.4697 Å, 90.00 90.00 90.00°
Last column: nearest neighbours and their distance in Å.
Fractional coordinates of all 24 atoms:
1 Na 0.2657 0.2500 0.5698  4 Se 3.01-3.10
2 Na 0.7657 0.2500 0.9302  4 Se 3.01-3.10
3 Se 0.3891 0.2500 0.0704  3 Nd 2.92-2.95, 2 Na 3.01
4 Se 0.8585 0.7500 0.7640  1 Zn 2.45
5 Se 0.6415 0.2500 0.2640  1 Zn 2.45
6 Se 0.4061 0.7500 0.3943  3 Zn 2.55-2.57
7 Zn 0.5113 0.2500 0.4059  4 Se 2.45-2.57
8 Na 0.7343 0.7500 0.4302  4 Se 3.01-3.10
9 Nd 0.9801 0.2500 0.6586  6 Se 2.92-3.14
10 Se 0.6109 0.7500 0.9296  3 Nd 2.92-2.95, 2 Na 3.01
11 Nd 0.4801 0.2500 0.8414  6 Se 2.92-3.14
12 Na 0.2343 0.7500 0.0698  4 Se 3.01-3.10
13 Se 0.0939 0.2500 0.8943  3 Zn 2.55-2.57
14 Se 0.1109 0.7500 0.5704  3 Nd 2.92-2.95, 2 Na 3.01
15 Se 0.3585 0.7500 0.7360  1 Zn 2.45
16 Zn 0.4887 0.7500 0.5941  4 Se 2.45-2.57
17 Se 0.8891 0.2500 0.4296  3 Nd 2.92-2.95, 2 Na 3.01
18 Se 0.5939 0.2500 0.6057  3 Zn 2.55-2.57
19 Nd 0.0199 0.7500 0.3414  6 Se 2.92-3.14
20 Se 0.1415 0.2500 0.2360  1 Zn 2.45
21 Zn 0.0113 0.2500 0.0941  4 Se 2.45-2.57
22 Se 0.9061 0.7500 0.1057  3 Zn 2.55-2.57
23 Zn 0.9887 0.7500 0.9059  4 Se 2.45-2.57
24 Nd 0.5199 0.7500 0.1586  6 Se 2.92-3.14

=====

(6)
The following is a DFT calculation (PBE-GGA) of a relaxed structure of NaNdZnSe3.

Properties
Spin magnetization (μB/atom): 0.001
DFT total energy (eV/atom): -4.27
Calculated volume (Å³/atom): 25.22
Relative energy among the computed polymorphs (meV per atom): 1

Cell: 4.2116 11.7597 12.2201 Å, 90.00 90.00 90.00°
Last column: nearest neighbours and their distance in Å.
Fractional coordinates of all 24 atoms:
1 Se 0.2500 0.2138 0.8173  2 Zn 2.53
2 Se 0.2500 0.5526 0.3518  1 Zn 2.44
3 Nd 0.2500 0.4753 0.8207  7 Se 2.98-3.27
4 Na 0.7500 0.6631 0.5013  5 Se 3.08-3.11
5 Se 0.2500 0.3935 0.0620  1 Zn 2.45
6 Se 0.7500 0.1065 0.5620  1 Zn 2.45
7 Nd 0.7500 0.0247 0.3207  7 Se 2.98-3.27
8 Zn 0.7500 0.7495 0.7918  4 Se 2.44-2.53
9 Se 0.2500 0.7138 0.6827  2 Zn 2.53
10 Se 0.7500 0.2862 0.3173  2 Zn 2.53
11 Zn 0.2500 0.2505 0.2082  4 Se 2.44-2.53
12 Se 0.2500 0.0526 0.1482  1 Zn 2.44
13 Na 0.2500 0.8369 0.0013  5 Se 3.08-3.11
14 Nd 0.2500 0.9753 0.6793  7 Se 2.98-3.27
15 Na 0.2500 0.3369 0.4987  5 Se 3.08-3.11
16 Se 0.2500 0.8935 0.4380  1 Zn 2.45
17 Se 0.7500 0.9473 0.8518  1 Zn 2.44
18 Se 0.7500 0.4473 0.6482  1 Zn 2.44
19 Se 0.7500 0.7862 0.1827  2 Zn 2.53
20 Na 0.7500 0.1631 0.9987  5 Se 3.08-3.11
21 Zn 0.7500 0.2495 0.7082  4 Se 2.44-2.53
22 Nd 0.7500 0.5247 0.1793  7 Se 2.98-3.27
23 Se 0.7500 0.6065 0.9380  1 Zn 2.45
24 Zn 0.2500 0.7505 0.2918  4 Se 2.44-2.53

=====

(7)
The following is a DFT calculation (PBE-GGA) of a relaxed structure of NaNdZnSe3.

Properties
Spin magnetization (μB/atom): 0.001
DFT total energy (eV/atom): -4.27
Calculated volume (Å³/atom): 26.58
Relative energy among the computed polymorphs (meV per atom): 0

Cell: 11.3050 4.1489 13.5981 Å, 90.00 90.00 90.00°
Last column: nearest neighbours and their distance in Å.
Fractional coordinates of all 24 atoms:
1 Zn 0.2643 0.2500 0.2174  4 Se 2.45-2.57
2 Nd 0.9864 0.2500 0.7617  6 Se 2.94-3.04
3 Na 0.2838 0.7500 0.0050  7 Se 3.15-3.48
4 Nd 0.4864 0.2500 0.7383  6 Se 2.94-3.04
5 Na 0.7838 0.7500 0.4950  7 Se 3.15-3.48
6 Se 0.7406 0.2500 0.6707  2 Zn 2.57
7 Zn 0.7357 0.7500 0.7826  4 Se 2.45-2.57
8 Zn 0.2357 0.7500 0.7174  4 Se 2.45-2.57
9 Se 0.0549 0.7500 0.6168  1 Zn 2.46
10 Nd 0.5136 0.7500 0.2617  6 Se 2.94-3.04
11 Se 0.2406 0.2500 0.8293  2 Zn 2.57
12 Se 0.4026 0.7500 0.6022  1 Zn 2.45
13 Zn 0.7643 0.2500 0.2826  4 Se 2.45-2.57
14 Se 0.4451 0.2500 0.1168  1 Zn 2.46
15 Se 0.5549 0.7500 0.8832  1 Zn 2.46
16 Na 0.7162 0.2500 0.9950  7 Se 3.15-3.48
17 Se 0.0974 0.2500 0.1022  1 Zn 2.45
18 Se 0.7594 0.7500 0.1707  2 Zn 2.57
19 Na 0.2162 0.2500 0.5050  7 Se 3.15-3.48
20 Se 0.2594 0.7500 0.3293  2 Zn 2.57
21 Se 0.5974 0.2500 0.3978  1 Zn 2.45
22 Nd 0.0136 0.7500 0.2383  6 Se 2.94-3.04
23 Se 0.9451 0.2500 0.3832  1 Zn 2.46
24 Se 0.9026 0.7500 0.8978  1 Zn 2.45

=====

(8)
The following is a DFT calculation (PBE-GGA) of a relaxed structure of NaNdZnSe3.

Properties
Spin magnetization (μB/atom): 0.000
DFT total energy (eV/atom): -4.16
Calculated volume (Å³/atom): 26.73
Relative energy among the computed polymorphs (meV per atom): 110

Cell: 9.9766 9.9766 8.1490 Å, 104.25 104.25 24.12°
Last column: nearest neighbours and their distance in Å.
Fractional coordinates of all 12 atoms:
1 Se 0.3266 0.3266 0.6581  3 Nd 2.90-2.91, 2 Na 3.02
2 Nd 0.1736 0.1736 0.5912  5 Se 2.90-2.93
3 Se 0.5000 0.5000 0.0000  2 Zn 2.47
4 Zn 0.4646 0.4646 0.2703  2 Se 2.43-2.47
5 Na 0.1152 0.1152 0.0757  6 Se 3.01-3.15
6 Se 0.0000 0.0000 0.5000  4 Zn 2.77
7 Na 0.8848 0.8848 0.9243  6 Se 3.01-3.15
8 Nd 0.8264 0.8264 0.4088  5 Se 2.90-2.93
9 Zn 0.5354 0.5354 0.7297  2 Se 2.43-2.47
10 Se 0.6635 0.6635 0.8370  1 Zn 2.43
11 Se 0.3365 0.3365 0.1630  1 Zn 2.43
12 Se 0.6734 0.6734 0.3419  3 Nd 2.90-2.91, 2 Na 3.02

=====

(9)
The following is a DFT calculation (PBE-GGA) of a relaxed structure of NaNdZnSe3.

Properties
Spin magnetization (μB/atom): 0.000
DFT total energy (eV/atom): -4.27
Calculated volume (Å³/atom): 26.55
Relative energy among the computed polymorphs (meV per atom): 0

Cell: 7.1180 7.1180 11.2939 Å, 90.00 90.00 33.83°
Last column: nearest neighbours and their distance in Å.
Fractional coordinates of all 12 atoms:
1 Zn 0.4669 0.4669 0.2500  4 Se 2.45-2.57
2 Na 0.7557 0.7557 0.2500  6 Se 3.18, 2 Zn 3.54
3 Nd 0.0000 0.0000 0.0000  6 Se 2.95-3.02
4 Se 0.3593 0.3593 0.0761  1 Zn 2.45
5 Se 0.6407 0.6407 0.9239  1 Zn 2.45
6 Se 0.0790 0.0790 0.2500  2 Zn 2.57
7 Se 0.3593 0.3593 0.4239  1 Zn 2.45
8 Se 0.6407 0.6407 0.5761  1 Zn 2.45
9 Zn 0.5331 0.5331 0.7500  4 Se 2.45-2.57
10 Na 0.2443 0.2443 0.7500  6 Se 3.18, 2 Zn 3.54
11 Se 0.9210 0.9210 0.7500  2 Zn 2.57
12 Nd 0.0000 0.0000 0.5000  6 Se 2.95-3.02